Below is a relaxed MnSiPt crystal, with properties calculated at the PBE level.

Summary:
Space-group type = P3m1, No. 156
Raw formation energy = -0.17 eV per atom
Electronic total energy = -21.1 eV per cell

abc: 2.8225 2.8225 5.9877
angles: 90.00 90.00 120.00
Sites, in units of the cell vectors:
Mn (0.0000, 0.0000, 0.0000)
Si (0.3333, 0.6667, 0.6937)
Pt (0.6667, 0.3333, 0.3641)